Entry 1:
# Rb3Tl4Sb4 | Alexandria via LeMat-Bulk | PBE | optimized geometry
# Formation energy without anion corrections: -17.9 kJ per mole of atoms
data_Rb3Tl4Sb4
_chemical_formula_sum 'Rb3 Tl4 Sb4'
_symmetry_space_group_name_H-M 'P -1'
_symmetry_Int_Tables_number 2
_symmetry_space_group_name_Hall '-P 1'
_cell_length_a 5.220
_cell_length_b 5.655
_cell_length_c 15.546
_cell_angle_alpha 79.84
_cell_angle_beta 80.37
_cell_angle_gamma 89.99
loop_
_atom_site_label
_atom_site_type_symbol
_atom_site_fract_x
_atom_site_fract_y
_atom_site_fract_z
Rb1 Rb 0.000 0.000 0.000
Rb2 Rb 0.146 0.648 0.706
Tl1 Tl 0.254 0.254 0.492
Tl2 Tl 0.410 0.908 0.183
Sb1 Sb 0.304 0.803 0.391
Sb2 Sb 0.454 0.453 0.093

***

Entry 2:
# Tl2SnP2 | Alexandria via LeMat-Bulk | PBE | optimized geometry
# Energy relative to the elements: 0.32 eV/atom
# Energy above the most stable polymorph in this dataset: 152 meV per atom
data_Tl2SnP2
_chemical_formula_sum 'Tl4 Sn2 P4'
_symmetry_space_group_name_H-M 'P 4/m b m'
_symmetry_Int_Tables_number 127
_symmetry_space_group_name_Hall '-P 4 2ab'
_cell_length_a 7.828
_cell_length_b 7.828
_cell_length_c 3.932
_cell_angle_alpha 90.00
_cell_angle_beta 90.00
_cell_angle_gamma 90.00
loop_
_atom_site_label
_atom_site_type_symbol
_atom_site_fract_x
_atom_site_fract_y
_atom_site_fract_z
Tl1 Tl 0.147 0.353 0.000
Sn1 Sn 0.000 0.000 0.500
P1 P 0.166 0.666 0.500

***

Entry 3:
# HoSiNiRh | Alexandria via LeMat-Bulk | PBE | optimized geometry
# Formation energy without anion corrections: -46.8 kJ per mole of atoms
data_HoSiNiRh
_chemical_formula_sum 'Ho2 Si2 Ni2 Rh2'
_symmetry_space_group_name_H-M 'A m m 2'
_symmetry_Int_Tables_number 38
_symmetry_space_group_name_Hall 'A 2 -2'
_cell_length_a 4.220
_cell_length_b 3.716
_cell_length_c 9.236
_cell_angle_alpha 90.00
_cell_angle_beta 90.00
_cell_angle_gamma 90.00
loop_
_atom_site_label
_atom_site_type_symbol
_atom_site_fract_x
_atom_site_fract_y
_atom_site_fract_z
Ho1 Ho 0.000 0.000 0.000
Si1 Si 0.500 0.000 0.612
Ni1 Ni 0.500 0.000 0.263
Rh1 Rh 0.000 0.000 0.721

***

Entry 4:
# RbTiTe3 | Alexandria via LeMat-Bulk | PBE | optimized geometry
# Energy above the most stable polymorph in this dataset: 128 meV per atom
# Formation energy without anion corrections: -59.1 kJ per mole of atoms
data_RbTiTe3
_chemical_formula_sum 'Rb1 Ti1 Te3'
_symmetry_space_group_name_H-M 'P m -3 m'
_symmetry_Int_Tables_number 221
_symmetry_space_group_name_Hall '-P 4 2 3'
_cell_length_a 5.491
_cell_length_b 5.491
_cell_length_c 5.491
_cell_angle_alpha 90.00
_cell_angle_beta 90.00
_cell_angle_gamma 90.00
loop_
_atom_site_label
_atom_site_type_symbol
_atom_site_fract_x
_atom_site_fract_y
_atom_site_fract_z
Rb1 Rb 0.000 0.000 0.000
Ti1 Ti 0.500 0.500 0.500
Te1 Te 0.000 0.500 0.500

***

Entry 5:
# NpAs2O8 | Alexandria via LeMat-Bulk | PBE | optimized geometry
# Formation energy without anion corrections: -143.7 kJ per mole of atoms
data_NpAs2O8
_chemical_formula_sum 'Np2 As4 O16'
_symmetry_space_group_name_H-M 'C 1 2/m 1'
_symmetry_Int_Tables_number 12
_symmetry_space_group_name_Hall '-C 2y'
_cell_length_a 13.468
_cell_length_b 5.643
_cell_length_c 5.180
_cell_angle_alpha 90.00
_cell_angle_beta 91.01
_cell_angle_gamma 90.00
loop_
_atom_site_label
_atom_site_type_symbol
_atom_site_fract_x
_atom_site_fract_y
_atom_site_fract_z
Np1 Np 0.000 0.000 0.000
As1 As 0.158 0.000 0.403
O1 O 0.088 0.225 0.226
O2 O 0.110 0.000 0.711
O3 O 0.221 0.500 0.626

***

Entry 6:
# Ta4TiNb2 | Alexandria via LeMat-Bulk | PBE | optimized geometry
# Energy relative to the elements: 0.09 eV/atom
# Energy above the most stable polymorph in this dataset: 0 meV per atom
data_Ta4TiNb2
_chemical_formula_sum 'Ta8 Ti2 Nb4'
_symmetry_space_group_name_H-M 'P 1'
_symmetry_Int_Tables_number 1
_symmetry_space_group_name_Hall 'P 1'
_cell_length_a 5.334
_cell_length_b 7.457
_cell_length_c 7.479
_cell_angle_alpha 60.66
_cell_angle_beta 85.08
_cell_angle_gamma 86.25
loop_
_atom_site_label
_atom_site_type_symbol
_atom_site_fract_x
_atom_site_fract_y
_atom_site_fract_z
Ta1 Ta 0.000 0.000 0.000
Ta2 Ta 0.001 0.587 0.285
Ta3 Ta 0.005 0.291 0.146
Ta4 Ta 0.419 0.079 0.710
Ta5 Ta 0.499 0.801 0.136
Ta6 Ta 0.521 0.239 0.989
Ta7 Ta 0.549 0.515 0.570
Ta8 Ta 0.775 0.678 0.878
Ti1 Ti 0.277 0.665 0.879
Ti2 Ti 0.917 0.148 0.581
Nb1 Nb 0.048 0.443 0.710
Nb2 Nb 0.217 0.907 0.421
Nb3 Nb 0.491 0.364 0.287
Nb4 Nb 0.719 0.916 0.414

***

Entry 7:
# Sb4Mo5 | Alexandria via LeMat-Bulk | PBE | optimized geometry
# Formation energy without anion corrections: 42.8 kJ per mole of atoms
data_Sb4Mo5
_chemical_formula_sum 'Sb8 Mo10'
_symmetry_space_group_name_H-M 'P 63/m c m'
_symmetry_Int_Tables_number 193
_symmetry_space_group_name_Hall '-P 6c 2'
_cell_length_a 8.3766
_cell_length_b 8.3766
_cell_length_c 5.4367
_cell_angle_alpha 90.00
_cell_angle_beta 90.00
_cell_angle_gamma 120.00
loop_
_atom_site_label
_atom_site_type_symbol
_atom_site_fract_x
_atom_site_fract_y
_atom_site_fract_z
Sb1 Sb 0.0000 0.0000 0.0000
Sb2 Sb 0.0000 0.3811 0.2500
Mo1 Mo 0.0000 0.2930 0.7500
Mo2 Mo 0.3333 0.6667 0.0000

***

Entry 8:
# Cd2BiRh | Alexandria via LeMat-Bulk | PBE | optimized geometry
# Energy relative to the elements: 0.49 eV/atom
data_Cd2BiRh
_chemical_formula_sum 'Cd6 Bi3 Rh3'
_symmetry_space_group_name_H-M 'R -3 m'
_symmetry_Int_Tables_number 166
_symmetry_space_group_name_Hall '-R 3 2"'
_cell_length_a 3.1144
_cell_length_b 3.1144
_cell_length_c 33.8796
_cell_angle_alpha 90.00
_cell_angle_beta 90.00
_cell_angle_gamma 120.00
loop_
_atom_site_label
_atom_site_type_symbol
_atom_site_fract_x
_atom_site_fract_y
_atom_site_fract_z
Cd1 Cd 0.0000 0.0000 0.0785
Bi1 Bi 0.0000 0.0000 0.5000
Rh1 Rh 0.0000 0.0000 0.0000

***

Entry 9:
# Sm2Al5Ag12 | Alexandria via LeMat-Bulk | PBE | optimized geometry
# Energy relative to the elements: -0.18 eV/atom
data_Sm2Al5Ag12
_chemical_formula_sum 'Sm6 Al15 Ag36'
_symmetry_space_group_name_H-M 'R -3 m'
_symmetry_Int_Tables_number 166
_symmetry_space_group_name_Hall '-R 3 2"'
_cell_length_a 9.4693
_cell_length_b 9.4693
_cell_length_c 14.0532
_cell_angle_alpha 90.00
_cell_angle_beta 90.00
_cell_angle_gamma 120.00
loop_
_atom_site_label
_atom_site_type_symbol
_atom_site_fract_x
_atom_site_fract_y
_atom_site_fract_z
Sm1 Sm 0.0000 0.0000 0.1647
Al1 Al 0.0000 0.0000 0.4052
Al2 Al 0.0000 0.5000 0.0000
Ag1 Ag 0.0000 0.2997 0.5000
Ag2 Ag 0.0107 0.5053 0.3489

***

Entry 10:
# Nb2HgB | Alexandria via LeMat-Bulk | PBE | optimized geometry
# Energy relative to the elements: -0.24 eV/atom
# Energy above the most stable polymorph in this dataset: 26 meV per atom
data_Nb2HgB
_chemical_formula_sum 'Nb6 Hg3 B3'
_symmetry_space_group_name_H-M 'R 3 m'
_symmetry_Int_Tables_number 160
_symmetry_space_group_name_Hall 'R 3 -2"'
_cell_length_a 3.2439
_cell_length_b 3.2439
_cell_length_c 22.0517
_cell_angle_alpha 90.00
_cell_angle_beta 90.00
_cell_angle_gamma 120.00
loop_
_atom_site_label
_atom_site_type_symbol
_atom_site_fract_x
_atom_site_fract_y
_atom_site_fract_z
Nb1 Nb 0.0000 0.0000 0.0000
Nb2 Nb 0.0000 0.0000 0.2212
Hg1 Hg 0.0000 0.0000 0.4436
B1 B 0.0000 0.0000 0.6112

***

Entry 11:
# MgTc2P | Alexandria via LeMat-Bulk | PBE | optimized geometry
# Energy relative to the elements: 0.24 eV/atom
# Energy above the most stable polymorph in this dataset: 568 meV per atom
data_MgTc2P
_chemical_formula_sum 'Mg2 Tc4 P2'
_symmetry_space_group_name_H-M 'I 4/m m m'
_symmetry_Int_Tables_number 139
_symmetry_space_group_name_Hall '-I 4 2'
_cell_length_a 3.753
_cell_length_b 3.753
_cell_length_c 8.239
_cell_angle_alpha 90.00
_cell_angle_beta 90.00
_cell_angle_gamma 90.00
loop_
_atom_site_label
_atom_site_type_symbol
_atom_site_fract_x
_atom_site_fract_y
_atom_site_fract_z
Mg1 Mg 0.000 0.000 0.000
Tc1 Tc 0.000 0.500 0.250
P1 P 0.000 0.000 0.500

***

Entry 12:
# CaZnPd4 | Alexandria via LeMat-Bulk | PBE | optimized geometry
# Energy relative to the elements: -0.45 eV/atom
data_CaZnPd4
_chemical_formula_sum 'Ca2 Zn2 Pd8'
_symmetry_space_group_name_H-M 'P m m a'
_symmetry_Int_Tables_number 51
_symmetry_space_group_name_Hall '-P 2a 2a'
_cell_length_a 7.581
_cell_length_b 4.048
_cell_length_c 6.927
_cell_angle_alpha 90.00
_cell_angle_beta 90.00
_cell_angle_gamma 90.00
loop_
_atom_site_label
_atom_site_type_symbol
_atom_site_fract_x
_atom_site_fract_y
_atom_site_fract_z
Ca1 Ca 0.250 0.000 0.150
Zn1 Zn 0.250 0.000 0.730
Pd1 Pd 0.000 0.000 0.500
Pd2 Pd 0.054 0.500 0.809
Pd3 Pd 0.250 0.500 0.459

***

One value per record, in order, for M_tot: 0.0 0.0 0.0 0.0 1.0 0.0 0.0 0.2 0.0 0.0 0.0 0.0 μB per formula unit.
One value per record, in order, for total energy: -2.81 -3.59 -6.27 -4.27 -7.12 -10.69 -7.41 -2.77 -3.46 -7.02 -6.70 -4.46 eV/atom.